# NaAcSn | Alexandria via LeMat-Bulk | PBE | relaxed
# Formation enthalpy at 0 K ... -0.355 eV per atom
# Energy above the most stable polymorph in this dataset ... 132 meV/atom
data_NaAcSn
_space_group_name_H-M_alt 'P 1'
_space_group_IT_number 1
_space_group_name_Hall 'P 1'
_cell_length_a 5.021
_cell_length_b 6.524
_cell_length_c 7.542
_cell_angle_alpha 72.82
_cell_angle_beta 70.56
_cell_angle_gamma 67.41
loop_
_atom_site_label
_atom_site_type_symbol
_atom_site_fract_x
_atom_site_fract_y
_atom_site_fract_z
_atom_site_occupancy
Sn1 Sn 0.918 0.808 0.232 1
Sn2 Sn 0.218 0.533 0.909 1
Ac1 Ac 0.503 0.967 0.904 1
Ac2 Ac 0.632 0.375 0.238 1
Na1 Na 0.889 0.449 0.650 1
Na2 Na 0.246 0.893 0.492 1

---

# Ga2FeTc | Alexandria via LeMat-Bulk | PBE | relaxed
# Formation enthalpy at 0 K ... 0.297 eV per atom
# Energy above the most stable polymorph in this dataset ... 365 meV/atom
data_Ga2FeTc
_space_group_name_H-M_alt 'P 1'
_space_group_IT_number 1
_space_group_name_Hall 'P 1'
_cell_length_a 6.753
_cell_length_b 6.753
_cell_length_c 5.487
_cell_angle_alpha 52.02
_cell_angle_beta 52.02
_cell_angle_gamma 90.00
loop_
_atom_site_label
_atom_site_type_symbol
_atom_site_fract_x
_atom_site_fract_y
_atom_site_fract_z
_atom_site_occupancy
Ga1 Ga 0.611 0.125 0.250 1
Ga2 Ga 0.139 0.625 0.250 1
Tc1 Tc 0.000 0.000 0.000 1
Ga3 Ga 0.375 0.389 0.750 1
Fe1 Fe 0.500 0.500 0.000 1
Tc2 Tc 0.750 0.250 0.500 1
Fe2 Fe 0.250 0.750 0.500 1
Ga4 Ga 0.875 0.861 0.750 1

---

# SrTeOF2 | Alexandria via LeMat-Bulk | PBE | relaxed
# Energy above the most stable polymorph in this dataset ... 95 meV/atom
# Energy relative to the elements, uncorrected ... -7.77 eV per formula unit
data_SrTeOF2
_space_group_name_H-M_alt 'P 1'
_space_group_IT_number 1
_space_group_name_Hall 'P 1'
_cell_length_a 4.521
_cell_length_b 4.521
_cell_length_c 5.150
_cell_angle_alpha 90.00
_cell_angle_beta 90.00
_cell_angle_gamma 90.00
loop_
_atom_site_label
_atom_site_type_symbol
_atom_site_fract_x
_atom_site_fract_y
_atom_site_fract_z
_atom_site_occupancy
O1 O 0.000 0.000 0.500 1
F1 F 0.000 0.500 0.000 1
F2 F 0.500 0.000 0.000 1
Sr1 Sr 0.000 0.000 0.000 1
Te1 Te 0.500 0.500 0.500 1

---

# LiTmGeS4 | Alexandria via LeMat-Bulk | PBE | relaxed
# Energy relative to the elements, uncorrected ... -7.59 eV per formula unit
data_LiTmGeS4
_space_group_name_H-M_alt 'P 1'
_space_group_IT_number 1
_space_group_name_Hall 'P 1'
_cell_length_a 7.364
_cell_length_b 7.475
_cell_length_c 7.475
_cell_angle_alpha 61.84
_cell_angle_beta 60.49
_cell_angle_gamma 60.49
loop_
_atom_site_label
_atom_site_type_symbol
_atom_site_fract_x
_atom_site_fract_y
_atom_site_fract_z
_atom_site_occupancy
Li1 Li 0.500 0.000 0.500 1
S1 S 0.741 0.753 0.253 1
S2 S 0.254 0.753 0.253 1
Li2 Li 0.000 0.000 0.500 1
S3 S 0.255 0.744 0.745 1
Tm1 Tm 0.000 0.000 0.000 1
S4 S 0.746 0.247 0.747 1
S5 S 0.745 0.256 0.255 1
S6 S 0.745 0.755 0.756 1
Ge1 Ge 0.363 0.387 0.887 1
Tm2 Tm 0.000 0.500 0.500 1
S7 S 0.255 0.245 0.244 1
Ge2 Ge 0.637 0.613 0.113 1
S8 S 0.259 0.247 0.747 1

---

# Gd3Pb5S12 | Alexandria via LeMat-Bulk | PBE | relaxed
# Energy relative to the elements, uncorrected ... -16.17 eV per formula unit
data_Gd3Pb5S12
_space_group_name_H-M_alt 'P 1'
_space_group_IT_number 1
_space_group_name_Hall 'P 1'
_cell_length_a 14.142
_cell_length_b 14.142
_cell_length_c 14.142
_cell_angle_alpha 109.47
_cell_angle_beta 109.47
_cell_angle_gamma 109.47
loop_
_atom_site_label
_atom_site_type_symbol
_atom_site_fract_x
_atom_site_fract_y
_atom_site_fract_z
_atom_site_occupancy
S1 S 0.944 0.586 0.172 1
S2 S 0.556 0.229 0.143 1
S3 S 0.586 0.643 0.414 1
S4 S 0.414 0.143 0.586 1
S5 S 0.857 0.271 0.444 1
S6 S 0.643 0.056 0.229 1
S7 S 0.914 0.086 0.857 1
S8 S 0.172 0.086 0.944 1
Pb1 Pb 0.625 0.750 0.875 1
Pb2 Pb 0.875 0.250 0.625 1
S9 S 0.586 0.857 0.414 1
Pb3 Pb 0.375 0.125 0.750 1
S10 S 0.444 0.771 0.857 1
S11 S 0.828 0.914 0.271 1
S12 S 0.056 0.414 0.828 1
S13 S 0.672 0.444 0.586 1
S14 S 0.643 0.586 0.914 1
S15 S 0.086 0.914 0.143 1
Pb4 Pb 0.500 0.000 0.500 1
S16 S 0.586 0.729 0.672 1
S17 S 0.771 0.328 0.914 1
Gd1 Gd 0.875 0.750 0.125 1
Gd2 Gd 0.625 0.375 0.750 1
Pb5 Pb 0.500 0.500 0.000 1
S18 S 0.271 0.414 0.828 1
Pb6 Pb 0.375 0.250 0.125 1
S19 S 0.586 0.944 0.672 1
S20 S 0.857 0.586 0.914 1
S21 S 0.444 0.672 0.086 1
S22 S 0.086 0.914 0.357 1
S23 S 0.944 0.357 0.271 1
S24 S 0.143 0.729 0.556 1
S25 S 0.414 0.271 0.328 1
Gd3 Gd 0.375 0.750 0.625 1
Gd4 Gd 0.625 0.250 0.375 1
S26 S 0.828 0.914 0.056 1
S27 S 0.357 0.414 0.086 1
Gd5 Gd 0.125 0.875 0.750 1
Pb7 Pb 0.125 0.750 0.375 1
Pb8 Pb 0.000 0.500 0.000 1
S28 S 0.229 0.556 0.643 1
Pb9 Pb 0.750 0.625 0.375 1
Pb10 Pb 0.000 0.000 0.000 1
Pb11 Pb 0.500 0.000 0.000 1
Gd6 Gd 0.750 0.375 0.125 1
S29 S 0.271 0.857 0.944 1
S30 S 0.086 0.172 0.444 1
Gd7 Gd 0.875 0.125 0.250 1
S31 S 0.172 0.086 0.729 1
Pb12 Pb 0.000 0.500 0.500 1
Pb13 Pb 0.250 0.875 0.125 1
Pb14 Pb 0.125 0.375 0.250 1
S32 S 0.086 0.172 0.229 1
Gd8 Gd 0.250 0.625 0.875 1
Pb15 Pb 0.875 0.625 0.750 1
Gd9 Gd 0.250 0.125 0.375 1
S33 S 0.056 0.643 0.729 1
S34 S 0.771 0.444 0.357 1
S35 S 0.414 0.357 0.586 1
S36 S 0.328 0.556 0.414 1
Pb16 Pb 0.250 0.375 0.625 1
Pb17 Pb 0.750 0.125 0.875 1
S37 S 0.357 0.944 0.771 1
Gd10 Gd 0.125 0.250 0.875 1
S38 S 0.729 0.586 0.172 1
S39 S 0.729 0.143 0.056 1
S40 S 0.229 0.672 0.086 1
S41 S 0.414 0.056 0.328 1
Pb18 Pb 0.500 0.500 0.500 1
Pb19 Pb 0.000 0.000 0.500 1
S42 S 0.914 0.828 0.556 1
Pb20 Pb 0.625 0.875 0.250 1
S43 S 0.143 0.414 0.086 1
Gd11 Gd 0.750 0.875 0.625 1
S44 S 0.914 0.086 0.643 1
S45 S 0.672 0.229 0.586 1
Gd12 Gd 0.375 0.625 0.250 1
S46 S 0.328 0.771 0.414 1
S47 S 0.914 0.828 0.771 1
S48 S 0.556 0.328 0.914 1

---

# GaHgSbPb | Alexandria via LeMat-Bulk | PBE | relaxed
# Energy relative to the elements, uncorrected ... 0.37 eV per formula unit
data_GaHgSbPb
_space_group_name_H-M_alt 'P 1'
_space_group_IT_number 1
_space_group_name_Hall 'P 1'
_cell_length_a 5.382
_cell_length_b 5.382
_cell_length_c 5.382
_cell_angle_alpha 60.00
_cell_angle_beta 60.00
_cell_angle_gamma 60.00
loop_
_atom_site_label
_atom_site_type_symbol
_atom_site_fract_x
_atom_site_fract_y
_atom_site_fract_z
_atom_site_occupancy
Ga1 Ga 0.000 0.000 0.000 1
Sb1 Sb 0.250 0.250 0.250 1
Pb1 Pb 0.500 0.500 0.500 1
Hg1 Hg 0.750 0.750 0.750 1

---

# CaP2Pb | Alexandria via LeMat-Bulk | PBE | relaxed
# Formation enthalpy at 0 K ... 0.168 eV per atom
data_CaP2Pb
_space_group_name_H-M_alt 'P 1'
_space_group_IT_number 1
_space_group_name_Hall 'P 1'
_cell_length_a 5.048
_cell_length_b 5.048
_cell_length_c 5.048
_cell_angle_alpha 60.00
_cell_angle_beta 60.00
_cell_angle_gamma 60.00
loop_
_atom_site_label
_atom_site_type_symbol
_atom_site_fract_x
_atom_site_fract_y
_atom_site_fract_z
_atom_site_occupancy
Pb1 Pb 0.250 0.250 0.250 1
P1 P 0.000 0.000 0.000 1
P2 P 0.750 0.750 0.750 1
Ca1 Ca 0.500 0.500 0.500 1

---

# Zn2AgCl | Alexandria via LeMat-Bulk | PBE | relaxed
# Energy above the most stable polymorph in this dataset ... 121 meV/atom
# Energy relative to the elements, uncorrected ... -0.21 eV per formula unit
data_Zn2AgCl
_space_group_name_H-M_alt 'P 1'
_space_group_IT_number 1
_space_group_name_Hall 'P 1'
_cell_length_a 5.471
_cell_length_b 5.471
_cell_length_c 5.471
_cell_angle_alpha 146.90
_cell_angle_beta 116.36
_cell_angle_gamma 73.63
loop_
_atom_site_label
_atom_site_type_symbol
_atom_site_fract_x
_atom_site_fract_y
_atom_site_fract_z
_atom_site_occupancy
Cl1 Cl 0.227 0.727 0.500 1
Zn1 Zn 0.760 0.260 0.500 1
Zn2 Zn 0.999 0.999 0.000 1
Ag1 Ag 0.513 0.513 0.000 1

---

# TlBiPd4Pb2 | Alexandria via LeMat-Bulk | PBE | relaxed
# Formation enthalpy at 0 K ... -0.072 eV per atom
data_TlBiPd4Pb2
_space_group_name_H-M_alt 'P 1'
_space_group_IT_number 1
_space_group_name_Hall 'P 1'
_cell_length_a 8.120
_cell_length_b 8.120
_cell_length_c 9.160
_cell_angle_alpha 124.33
_cell_angle_beta 124.33
_cell_angle_gamma 90.57
loop_
_atom_site_label
_atom_site_type_symbol
_atom_site_fract_x
_atom_site_fract_y
_atom_site_fract_z
_atom_site_occupancy
Pd1 Pd 0.751 0.749 0.504 1
Pb1 Pb 0.500 0.000 0.500 1
Tl1 Tl 0.500 0.500 0.500 1
Pd2 Pd 0.745 0.235 0.990 1
Pb2 Pb 0.000 0.000 0.500 1
Pd3 Pd 0.751 0.749 0.996 1
Bi1 Bi 0.000 0.500 0.000 1
Pd4 Pd 0.735 0.245 0.490 1
Pb3 Pb 0.500 0.500 0.000 1
Pd5 Pd 0.249 0.251 0.004 1
Pd6 Pd 0.255 0.765 0.010 1
Pd7 Pd 0.265 0.755 0.510 1
Tl2 Tl 0.000 0.000 0.000 1
Pd8 Pd 0.249 0.251 0.496 1
Bi2 Bi 0.000 0.500 0.500 1
Pb4 Pb 0.500 0.000 0.000 1

---

# Ac3CdHg3 | Alexandria via LeMat-Bulk | PBE | relaxed
# Formation enthalpy at 0 K ... -0.264 eV per atom
# Energy above the most stable polymorph in this dataset ... 131 meV/atom
data_Ac3CdHg3
_space_group_name_H-M_alt 'P 1'
_space_group_IT_number 1
_space_group_name_Hall 'P 1'
_cell_length_a 5.484
_cell_length_b 9.863
_cell_length_c 9.863
_cell_angle_alpha 120.00
_cell_angle_beta 90.00
_cell_angle_gamma 90.00
loop_
_atom_site_label
_atom_site_type_symbol
_atom_site_fract_x
_atom_site_fract_y
_atom_site_fract_z
_atom_site_occupancy
Hg1 Hg 0.250 0.815 0.773 1
Cd1 Cd 0.250 0.667 0.333 1
Cd2 Cd 0.750 0.333 0.667 1
Hg2 Hg 0.250 0.227 0.041 1
Ac1 Ac 0.250 0.564 0.907 1
Ac2 Ac 0.250 0.093 0.657 1
Hg3 Hg 0.750 0.185 0.227 1
Hg4 Hg 0.750 0.773 0.959 1
Hg5 Hg 0.250 0.959 0.185 1
Ac3 Ac 0.250 0.343 0.436 1
Ac4 Ac 0.750 0.657 0.564 1
Hg6 Hg 0.750 0.041 0.815 1
Ac5 Ac 0.750 0.436 0.093 1
Ac6 Ac 0.750 0.907 0.343 1